16
Lattice="5.919 0.000 0.000 0.000 5.919 0.000 0.000 0.000 5.919" Properties=species:S:1:pos:R:3 comment="AlZn2Fe, relaxed, DFT PBE-GGA" total_energy_ev_per_atom=-3.60 space_group="F-43m (216)" pbc="T T T"
Al 0.000 0.000 0.000
Al 0.000 2.960 2.960
Al 2.960 0.000 2.960
Al 2.960 2.960 0.000
Zn 0.000 0.000 2.960
Zn 0.000 2.960 0.000
Zn 1.480 1.480 4.439
Zn 1.480 4.439 1.480
Zn 2.960 0.000 0.000
Zn 2.960 2.960 2.960
Zn 4.439 1.480 1.480
Zn 4.439 4.439 4.439
Fe 1.480 1.480 1.480
Fe 1.480 4.439 4.439
Fe 4.439 1.480 4.439
Fe 4.439 4.439 1.480